1.
{"formula": "NdAl2O4", "functional": "PBE-GGA", "state": "optimized geometry", "cell": [[0.000, 5.698, 3.270], [4.795, 0.000, 3.270], [4.795, 5.698, 0.000]], "species": ["Nd", "Nd", "Al", "Al", "Al", "Al", "O", "O", "O", "O", "O", "O", "O", "O"], "frac_coords": [[0.000, 0.000, 0.000], [0.250, 0.250, 0.250], [0.227, 0.623, 0.638], [0.612, 0.738, 0.023], [0.623, 0.227, 0.512], [0.738, 0.612, 0.627], [0.368, 0.559, 0.807], [0.443, 0.984, 0.882], [0.485, 0.853, 0.270], [0.559, 0.368, 0.266], [0.853, 0.485, 0.392], [0.858, 0.980, 0.397], [0.980, 0.858, 0.765], [0.984, 0.443, 0.691]], "spacegroup": "Fdd2 (43)", "final_energy_ev_per_cell": -102.6, "n_ef_per_ev_atom": 0.11}

2.
{"formula": "RbCd4Bi2", "functional": "PBE-GGA", "state": "optimized geometry", "cell": [[2.701, 1.560, 9.363], [-2.701, 1.560, 9.363], [0.000, -3.119, 9.363]], "species": ["Rb", "Cd", "Cd", "Cd", "Cd", "Bi", "Bi"], "frac_coords": [[0.000, 0.000, 0.000], [0.132, 0.132, 0.132], [0.447, 0.447, 0.447], [0.553, 0.553, 0.553], [0.868, 0.868, 0.868], [0.240, 0.240, 0.240], [0.760, 0.760, 0.760]], "spacegroup": "R-3m (166)", "ef_mev_per_atom": -84, "polymorph_energy_ev_per_fu": 0.23, "n_ef_per_ev_atom": 0.21}

3.
{"formula": "InTeBr", "functional": "PBE-GGA", "state": "optimized geometry", "cell": [[4.231, 0.000, 0.000], [-2.115, 3.664, 0.000], [0.000, 0.000, 6.982]], "species": ["In", "Te", "Br"], "frac_coords": [[0.000, 0.000, 0.000], [0.333, 0.667, 0.213], [0.667, 0.333, 0.744]], "spacegroup": "P3m1 (156)", "final_energy_ev_per_cell": -9.0}

4.
{"formula": "LaOsPb2", "functional": "PBE-GGA", "state": "optimized geometry", "cell": [[2.693, -4.782, 0.000], [2.693, 4.782, 0.000], [0.000, 0.000, 4.529]], "species": ["La", "Os", "Pb", "Pb"], "frac_coords": [[0.000, 0.000, 0.000], [0.500, 0.500, 0.000], [0.329, 0.671, 0.500], [0.671, 0.329, 0.500]], "spacegroup": "Cmmm (65)", "ef_mev_per_atom": 89, "polymorph_energy_ev_per_fu": 0.06, "n_ef_per_ev_atom": 0.86}

5.
{"formula": "LiCuPd4", "functional": "PBE-GGA", "state": "optimized geometry", "cell": [[2.792, 0.000, 0.000], [0.000, 2.792, 0.000], [0.000, 0.000, 10.971]], "species": ["Li", "Cu", "Pd", "Pd", "Pd", "Pd"], "frac_coords": [[0.000, 0.000, 0.000], [0.500, 0.500, 0.500], [0.000, 0.000, 0.339], [0.000, 0.000, 0.661], [0.500, 0.500, 0.156], [0.500, 0.500, 0.844]], "spacegroup": "P4/mmm (123)", "ef_mev_per_atom": -179, "polymorph_energy_ev_per_fu": 0.00, "n_ef_per_ev_atom": 1.07}

6.
{"formula": "SnBr4", "functional": "PBE-GGA", "state": "optimized geometry", "cell": [[6.555, -3.302, 0.000], [6.555, 3.302, 0.000], [-6.404, 0.000, 11.031]], "species": ["Sn", "Sn", "Br", "Br", "Br", "Br", "Br", "Br", "Br", "Br"], "frac_coords": [[0.181, 0.819, 0.750], [0.819, 0.181, 0.250], [0.096, 0.164, 0.926], [0.164, 0.096, 0.426], [0.278, 0.480, 0.804], [0.480, 0.278, 0.304], [0.520, 0.722, 0.696], [0.722, 0.520, 0.196], [0.836, 0.904, 0.574], [0.904, 0.836, 0.074]], "spacegroup": "C2/c (15)", "final_energy_ev_per_cell": -28.0, "n_ef_per_ev_atom": 0.00}

7.
{"formula": "Dy2PuSe4", "functional": "PBE-GGA", "state": "optimized geometry", "cell": [[-4.382, 4.382, 4.322], [4.382, -4.382, 4.322], [4.382, 4.382, -4.322]], "species": ["Dy", "Dy", "Dy", "Dy", "Pu", "Pu", "Se", "Se", "Se", "Se", "Se", "Se", "Se", "Se"], "frac_coords": [[0.004, 0.625, 0.879], [0.375, 0.254, 0.379], [0.746, 0.125, 0.121], [0.875, 0.996, 0.621], [0.250, 0.750, 0.500], [0.500, 0.500, 0.000], [0.120, 0.371, 0.600], [0.121, 0.370, 0.100], [0.269, 0.020, 0.900], [0.481, 0.880, 0.251], [0.629, 0.230, 0.749], [0.630, 0.731, 0.751], [0.770, 0.519, 0.400], [0.980, 0.879, 0.249]], "spacegroup": "I-42d (122)", "polymorph_energy_ev_per_fu": 0.09, "n_ef_per_ev_atom": 1.54}

8.
{"formula": "La2HgHRu", "functional": "PBE-GGA", "state": "optimized geometry", "cell": [[5.313, 0.000, 0.000], [0.000, 5.313, 0.000], [0.000, 0.000, 3.784]], "species": ["La", "La", "Hg", "H", "Ru"], "frac_coords": [[0.000, 0.500, 0.000], [0.500, 0.000, 0.000], [0.000, 0.000, 0.500], [0.500, 0.500, 0.000], [0.500, 0.500, 0.500]], "spacegroup": "P4/mmm (123)", "final_energy_ev_per_cell": -24.6, "n_ef_per_ev_atom": 0.52}

9.
{"formula": "Ac2Zn3Ru", "functional": "PBE-GGA", "state": "optimized geometry", "cell": [[-2.542, 2.802, 5.276], [2.542, -2.802, 5.276], [2.542, 2.802, -5.276]], "species": ["Ac", "Ac", "Zn", "Zn", "Zn", "Ru"], "frac_coords": [[0.220, 0.220, 0.000], [0.780, 0.780, 0.000], [0.000, 0.500, 0.500], [0.392, 0.892, 0.500], [0.608, 0.108, 0.500], [0.500, 0.500, 0.000]], "spacegroup": "Immm (71)", "ef_mev_per_atom": -23, "polymorph_energy_ev_per_fu": 1.36, "n_ef_per_ev_atom": 0.37}

10.
{"formula": "CoTcCl3", "functional": "PBE-GGA", "state": "optimized geometry", "cell": [[4.694, 0.000, 0.000], [0.000, 4.694, 0.000], [0.000, 0.000, 4.694]], "species": ["Co", "Tc", "Cl", "Cl", "Cl"], "frac_coords": [[0.000, 0.000, 0.000], [0.500, 0.500, 0.500], [0.000, 0.000, 0.500], [0.000, 0.500, 0.000], [0.500, 0.000, 0.000]], "spacegroup": "Pm-3m (221)", "final_energy_ev_per_cell": -21.0, "n_ef_per_ev_atom": 0.53}

11.
{"formula": "Tm4SbH", "functional": "PBE-GGA", "state": "optimized geometry", "cell": [[-3.286, 3.286, 7.002], [3.286, -3.286, 7.002], [3.286, 3.286, -7.002]], "species": ["Tm", "Tm", "Tm", "Tm", "Tm", "Tm", "Tm", "Tm", "Sb", "Sb", "H", "H"], "frac_coords": [[0.158, 0.809, 0.876], [0.217, 0.342, 0.150], [0.309, 0.933, 0.650], [0.433, 0.283, 0.624], [0.567, 0.717, 0.376], [0.691, 0.067, 0.350], [0.783, 0.658, 0.850], [0.842, 0.191, 0.124], [0.125, 0.375, 0.750], [0.875, 0.625, 0.250], [0.375, 0.125, 0.250], [0.625, 0.875, 0.750]], "spacegroup": "I4_1/a (88)", "final_energy_ev_per_cell": -55.9, "n_ef_per_ev_atom": 1.11}

12.
{"formula": "CoNiMo2H", "functional": "PBE-GGA", "state": "optimized geometry", "cell": [[3.885, 0.000, 0.000], [0.000, 3.885, 0.000], [0.000, 0.000, 3.685]], "species": ["Co", "Ni", "Mo", "Mo", "H"], "frac_coords": [[0.000, 0.000, 0.000], [0.500, 0.500, 0.000], [0.000, 0.500, 0.500], [0.500, 0.000, 0.500], [0.500, 0.500, 0.500]], "spacegroup": "P4/mmm (123)", "polymorph_energy_ev_per_fu": 0.04, "n_ef_per_ev_atom": 0.90}

| no. | magnetic moment (μB/atom) |
| --- | --- |
| 1 | 0.0000 |
| 2 | 0.0000 |
| 3 | 0.0000 |
| 4 | 0.0000 |
| 5 | 0.0000 |
| 6 | 0.0000 |
| 7 | 0.8565 |
| 8 | 0.0000 |
| 9 | 0.0000 |
| 10 | 1.3307 |
| 11 | 0.0000 |
| 12 | 0.2644 |